No. 1
Material: NdGdZn4
Method: DFT, PBE
State: optimized geometry

Lattice parameters (Å, degrees): 5.5400 5.5400 5.5400 60.00 60.00 60.00
Fractional positions:
Zn 0.1252 0.6249 0.6249
Zn 0.6249 0.6249 0.1252
Zn 0.6249 0.1252 0.6249
Zn 0.6249 0.6249 0.6249
Gd 0.0000 0.0000 0.0000
Nd 0.2500 0.2500 0.2500

Values from the calculation:
As for the space group: F-43m, No. 216. The calculation puts the formation energy at -0.329 eV/atom. The value obtained for the total energy is -4.320 eV/atom.

---

No. 2
Material: NdGdZn2
Method: DFT, PBE
State: optimized geometry

Lattice parameters (Å, degrees): 5.1596 5.1596 5.1596 60.00 60.00 60.00
Fractional positions:
Zn 0.2500 0.2500 0.2500
Zn 0.7500 0.7500 0.7500
Nd 0.0000 0.0000 0.0000
Gd 0.5000 0.5000 0.5000

Values from the calculation:
Its energy above the most stable polymorph in this dataset is 0 meV/atom. As for the space group: Fm-3m, No. 225. The calculation puts the formation energy at -0.329 eV/atom. The value obtained for the total energy is -5.678 eV/atom.

---

No. 3
Material: NdGdZr2
Method: DFT, PBE
State: optimized geometry

Lattice parameters (Å, degrees): 4.9127 4.7260 4.7260 90.00 90.00 90.00
Fractional positions:
Nd 0.5000 0.5000 0.5000
Gd 0.5000 0.0000 0.0000
Zr 0.0000 0.0000 0.5000
Zr 0.0000 0.5000 0.0000

Values from the calculation:
As for the space group: P4/mmm, No. 123. The calculation puts the formation energy at 0.170 eV/atom. The value obtained for the total energy is -8.816 eV/atom.